<one>
Material: YTaS2
Method: DFT, GGA-PBE
State: relaxed

Output
M_tot, Bohr magnetons per cell: 0.000
DOS at the Fermi energy, states/eV/cell: 0.00

Cell: 4.587 4.587 4.587 Å, 60.00 60.00 60.00°
Atoms (fractional coordinates):
S1 0.750 0.750 0.750
Y1 0.000 0.000 0.000
Ta1 0.500 0.500 0.500
S2 0.250 0.250 0.250



<two>
Material: YTaS2
Method: DFT, GGA-PBE
State: relaxed

Output
M_tot, Bohr magnetons per cell: 1.432
DOS at the Fermi energy, states/eV/cell: 6.44

Cell: 5.493 5.493 7.478 Å, 68.45 68.45 90.00°
Atoms (fractional coordinates):
Ta1 0.750 0.250 0.500
Y1 0.500 0.500 0.000
S1 0.375 0.325 0.750
Y2 0.250 0.750 0.500
Ta2 0.000 0.000 0.000
S2 0.675 0.125 0.250
S3 0.875 0.925 0.750
S4 0.075 0.625 0.250



<three>
Material: YTaS2
Method: DFT, GGA-PBE
State: relaxed

Output
M_tot, Bohr magnetons per cell: 0.000
DOS at the Fermi energy, states/eV/cell: 2.31

Cell: 8.781 8.781 8.781 Å, 22.61 22.61 22.61°
Atoms (fractional coordinates):
S1 0.893 0.893 0.893
Y1 0.000 0.000 0.000
Ta1 0.500 0.500 0.500
S2 0.107 0.107 0.107



Last place for stability: <two>



<one>
Material: TaZnS3
Method: DFT, GGA-PBE
State: relaxed

Output
M_tot, Bohr magnetons per cell: 0.000
DOS at the Fermi energy, states/eV/cell: 4.62

Cell: 4.797 4.797 4.797 Å, 90.00 90.00 90.00°
Atoms (fractional coordinates):
S1 0.000 0.000 0.500
Ta1 0.000 0.000 0.000
S2 0.500 0.000 0.000
Zn1 0.500 0.500 0.500
S3 0.000 0.500 0.000



<two>
Material: TaZnS3
Method: DFT, GGA-PBE
State: relaxed

Output
M_tot, Bohr magnetons per cell: 0.000
DOS at the Fermi energy, states/eV/cell: 6.90

Cell: 4.505 4.505 4.505 Å, 90.00 90.00 90.00°
Atoms (fractional coordinates):
S1 0.500 0.000 0.000
S2 0.000 0.000 0.500
S3 0.000 0.500 0.000
Ta1 0.500 0.500 0.500
Zn1 0.000 0.000 0.000



Last place for stability: <two>



<one>
Material: ZrTaS2
Method: DFT, GGA-PBE
State: relaxed

Output
M_tot, Bohr magnetons per cell: 0.000
DOS at the Fermi energy, states/eV/cell: 12.83

Cell: 4.723 4.723 8.087 Å, 73.02 73.02 90.00°
Atoms (fractional coordinates):
Ta1 0.750 0.250 0.500
S1 0.654 0.125 0.250
Zr1 0.500 0.500 0.000
S2 0.875 0.904 0.750
S3 0.096 0.625 0.250
S4 0.375 0.346 0.750
Zr2 0.250 0.750 0.500
Ta2 0.000 0.000 0.000



<two>
Material: ZrTaS2
Method: DFT, GGA-PBE
State: relaxed

Output
M_tot, Bohr magnetons per cell: 0.000
DOS at the Fermi energy, states/eV/cell: 5.09

Cell: 8.722 8.722 8.722 Å, 21.42 21.42 21.42°
Atoms (fractional coordinates):
S1 0.898 0.898 0.898
Ta1 0.500 0.500 0.500
Zr1 0.000 0.000 0.000
S2 0.102 0.102 0.102



Last place for stability: <one>



<one>
Material: ZrTaS3
Method: DFT, GGA-PBE
State: relaxed

Output
M_tot, Bohr magnetons per cell: 2.945
DOS at the Fermi energy, states/eV/cell: 3.40

Cell: 4.888 4.888 4.888 Å, 90.00 90.00 90.00°
Atoms (fractional coordinates):
S1 0.000 0.000 0.500
S2 0.000 0.500 0.000
S3 0.500 0.000 0.000
Zr1 0.000 0.000 0.000
Ta1 0.500 0.500 0.500



<two>
Material: ZrTaS3
Method: DFT, GGA-PBE
State: relaxed

Output
M_tot, Bohr magnetons per cell: 1.688
DOS at the Fermi energy, states/eV/cell: 4.18

Cell: 4.729 4.729 4.729 Å, 90.00 90.00 90.00°
Atoms (fractional coordinates):
Zr1 0.500 0.500 0.500
Ta1 0.000 0.000 0.000
S1 0.000 0.000 0.500
S2 0.500 0.000 0.000
S3 0.000 0.500 0.000



Last place for stability: <one>



<one>
Material: Tb3S2
Method: DFT, GGA-PBE
State: relaxed

Output
M_tot, Bohr magnetons per cell: 0.000
DOS at the Fermi energy, states/eV/cell: 8.93

Cell: 6.727 6.727 7.442 Å, 63.13 63.13 60.00°
Atoms (fractional coordinates):
Tb1 0.750 0.420 0.750
Tb2 0.920 0.250 0.250
Tb3 0.080 0.750 0.750
Tb4 0.580 0.920 0.250
S1 0.337 0.337 0.989
Tb5 0.250 0.580 0.250
S2 0.163 0.163 0.511
Tb6 0.420 0.080 0.750
S3 0.663 0.663 0.011
S4 0.837 0.837 0.489



<two>
Material: Tb3S2
Method: DFT, GGA-PBE
State: relaxed

Output
M_tot, Bohr magnetons per cell: 0.737
DOS at the Fermi energy, states/eV/cell: 3.40

Cell: 3.846 3.846 9.819 Å, 78.71 78.71 60.00°
Atoms (fractional coordinates):
S1 0.609 0.609 0.172
Tb1 0.783 0.783 0.651
Tb2 0.000 0.000 0.000
Tb3 0.217 0.217 0.349
S2 0.391 0.391 0.828



Last place for stability: <one>



<one>
Material: Tb2TeS2
Method: DFT, GGA-PBE
State: relaxed

Output
M_tot, Bohr magnetons per cell: 0.000
DOS at the Fermi energy, states/eV/cell: 0.00

Cell: 7.104 7.104 6.788 Å, 111.48 111.48 97.93°
Atoms (fractional coordinates):
S1 0.548 0.775 0.026
S2 0.775 0.548 0.526
Tb1 0.411 0.589 0.250
Te1 0.873 0.127 0.750
Tb2 0.589 0.411 0.750
Tb3 0.175 0.825 0.750
S3 0.225 0.452 0.474
Tb4 0.825 0.175 0.250
S4 0.452 0.225 0.974
Te2 0.127 0.873 0.250



<two>
Material: Tb2TeS2
Method: DFT, GGA-PBE
State: relaxed

Output
M_tot, Bohr magnetons per cell: 0.000
DOS at the Fermi energy, states/eV/cell: 0.00

Cell: 7.628 7.628 7.628 Å, 147.91 138.70 53.24°
Atoms (fractional coordinates):
Tb1 0.166 0.666 0.500
S1 0.705 0.705 0.000
S2 0.295 0.295 0.000
Te1 0.000 0.000 0.000
Tb2 0.834 0.334 0.500



Last place for stability: <one>



<one>
Material: Tb3Te2S
Method: DFT, GGA-PBE
State: relaxed

Output
M_tot, Bohr magnetons per cell: 0.000
DOS at the Fermi energy, states/eV/cell: 4.95

Cell: 7.172 7.372 7.372 Å, 118.85 99.84 99.84°
Atoms (fractional coordinates):
Tb1 0.016 0.235 0.375
Tb2 0.984 0.765 0.625
Te1 0.750 0.076 0.924
S1 0.250 0.596 0.404
Te2 0.250 0.232 0.768
Tb3 0.516 0.375 0.235
Tb4 0.000 0.500 0.000
Tb5 0.500 0.000 0.500
Te3 0.750 0.768 0.232
S2 0.750 0.404 0.596
Tb6 0.484 0.625 0.765
Te4 0.250 0.924 0.076



<two>
Material: Tb3Te2S
Method: DFT, GGA-PBE
State: relaxed

Output
M_tot, Bohr magnetons per cell: 0.000
DOS at the Fermi energy, states/eV/cell: 4.93

Cell: 7.279 7.414 7.275 Å, 80.59 59.98 70.92°
Atoms (fractional coordinates):
Tb1 0.434 0.784 0.639
Te1 0.157 0.500 0.686
S1 0.669 0.000 0.662
Te2 0.000 0.000 0.000
Te3 0.500 0.500 0.000
Tb2 0.566 0.216 0.361
Tb3 0.707 0.793 0.000
Tb4 0.927 0.216 0.639
Tb5 0.073 0.784 0.361
Tb6 0.293 0.207 0.000
Te4 0.843 0.500 0.314
S2 0.331 0.000 0.338



Last place for stability: <one>



<one>
Material: Tb2TeS
Method: DFT, GGA-PBE
State: relaxed

Output
M_tot, Bohr magnetons per cell: 0.000
DOS at the Fermi energy, states/eV/cell: 6.99

Cell: 6.283 5.772 11.532 Å, 90.00 90.00 90.00°
Atoms (fractional coordinates):
Tb1 0.197 0.000 0.108
S1 0.243 0.000 0.872
Tb2 0.189 0.500 0.864
Te1 0.307 0.000 0.372
Te2 0.307 0.500 0.128
Te3 0.693 0.500 0.872
Tb3 0.803 0.000 0.892
Tb4 0.189 0.000 0.636
S2 0.757 0.000 0.128
Te4 0.693 0.000 0.628
Tb5 0.803 0.500 0.608
S3 0.243 0.500 0.628
Tb6 0.197 0.500 0.392
S4 0.757 0.500 0.372
Tb7 0.811 0.500 0.136
Tb8 0.811 0.000 0.364



<two>
Material: Tb2TeS
Method: DFT, GGA-PBE
State: relaxed

Output
M_tot, Bohr magnetons per cell: 0.000
DOS at the Fermi energy, states/eV/cell: 1.12

Cell: 4.105 4.105 7.343 Å, 73.77 73.77 60.00°
Atoms (fractional coordinates):
Tb1 0.734 0.734 0.798
Te1 0.500 0.500 0.500
Tb2 0.266 0.266 0.202
S1 0.000 0.000 0.000



<three>
Material: Tb2TeS
Method: DFT, GGA-PBE
State: relaxed

Output
M_tot, Bohr magnetons per cell: 0.000
DOS at the Fermi energy, states/eV/cell: 0.17

Cell: 4.034 4.034 7.529 Å, 74.46 74.46 60.00°
Atoms (fractional coordinates):
Tb1 0.264 0.264 0.209
Tb2 0.069 0.069 0.793
S1 0.668 0.668 0.995
Te1 0.499 0.499 0.503



Last place for stability: <one>



<one>
Material: Tb3ThS4
Method: DFT, GGA-PBE
State: relaxed

Output
M_tot, Bohr magnetons per cell: 0.000
DOS at the Fermi energy, states/eV/cell: 3.24

Cell: 3.932 6.871 6.871 Å, 70.81 90.00 90.00°
Atoms (fractional coordinates):
Th1 0.500 0.500 0.000
S1 0.500 0.246 0.746
Tb1 0.500 0.000 0.500
S2 0.000 0.758 0.742
S3 0.500 0.754 0.254
Tb2 0.000 0.000 0.000
Tb3 0.000 0.500 0.500
S4 0.000 0.242 0.258



<two>
Material: Tb3ThS4
Method: DFT, GGA-PBE
State: relaxed

Output
M_tot, Bohr magnetons per cell: 0.000
DOS at the Fermi energy, states/eV/cell: 6.92

Cell: 5.606 5.606 5.606 Å, 90.00 90.00 90.00°
Atoms (fractional coordinates):
S1 0.000 0.500 0.000
Tb1 0.500 0.000 0.500
S2 0.500 0.500 0.500
Th1 0.000 0.000 0.000
S3 0.000 0.000 0.500
Tb2 0.000 0.500 0.500
S4 0.500 0.000 0.000
Tb3 0.500 0.500 0.000



Last place for stability: <two>



<one>
Material: TbTiS2
Method: DFT, GGA-PBE
State: relaxed

Output
M_tot, Bohr magnetons per cell: 0.000
DOS at the Fermi energy, states/eV/cell: 2.26

Cell: 3.744 3.744 6.393 Å, 72.98 72.98 60.00°
Atoms (fractional coordinates):
Ti1 0.000 0.000 0.000
S1 0.741 0.741 0.778
S2 0.259 0.259 0.222
Tb1 0.500 0.500 0.500



<two>
Material: TbTiS2
Method: DFT, GGA-PBE
State: relaxed

Output
M_tot, Bohr magnetons per cell: 0.574
DOS at the Fermi energy, states/eV/cell: 2.84

Cell: 3.654 3.654 6.733 Å, 74.25 74.25 60.00°
Atoms (fractional coordinates):
Tb1 0.495 0.495 0.514
S1 0.259 0.259 0.222
Ti1 0.673 0.673 0.981
S2 0.072 0.072 0.783



Last place for stability: <two>



<one>
Material: Tb3TlS
Method: DFT, GGA-PBE
State: relaxed

Output
M_tot, Bohr magnetons per cell: 2.576
DOS at the Fermi energy, states/eV/cell: 14.39

Cell: 3.957 9.034 14.913 Å, 90.00 90.00 90.00°
Atoms (fractional coordinates):
S1 0.250 0.160 0.946
Tb1 0.250 0.793 0.715
Tb2 0.250 0.029 0.110
Tb3 0.250 0.529 0.390
Tb4 0.750 0.334 0.012
Tb5 0.250 0.666 0.988
Tl1 0.250 0.430 0.173
S2 0.750 0.840 0.054
S3 0.750 0.340 0.446
S4 0.250 0.660 0.554
Tl2 0.750 0.570 0.827
Tb6 0.250 0.166 0.512
Tl3 0.250 0.930 0.327
Tb7 0.750 0.471 0.610
Tb8 0.750 0.834 0.488
Tb9 0.750 0.207 0.285
Tl4 0.750 0.070 0.673
Tb10 0.750 0.707 0.215
Tb11 0.250 0.293 0.785
Tb12 0.750 0.971 0.890



<two>
Material: Tb3TlS
Method: DFT, GGA-PBE
State: relaxed

Output
M_tot, Bohr magnetons per cell: 0.000
DOS at the Fermi energy, states/eV/cell: 4.05

Cell: 5.198 5.198 5.198 Å, 90.00 90.00 90.00°
Atoms (fractional coordinates):
Tb1 0.500 0.000 0.000
S1 0.000 0.000 0.000
Tl1 0.500 0.500 0.500
Tb2 0.000 0.500 0.000
Tb3 0.000 0.000 0.500



Last place for stability: <two>



<one>
Material: Tb2TlS
Method: DFT, GGA-PBE
State: relaxed

Output
M_tot, Bohr magnetons per cell: 0.000
DOS at the Fermi energy, states/eV/cell: 2.84

Cell: 3.822 3.822 8.444 Å, 76.92 76.92 60.00°
Atoms (fractional coordinates):
Tl1 0.500 0.500 0.501
Tb1 0.267 0.267 0.198
Tb2 0.065 0.065 0.804
S1 0.667 0.667 0.998



<two>
Material: Tb2TlS
Method: DFT, GGA-PBE
State: relaxed

Output
M_tot, Bohr magnetons per cell: 0.000
DOS at the Fermi energy, states/eV/cell: 1.55

Cell: 3.854 3.854 8.261 Å, 76.51 76.51 60.00°
Atoms (fractional coordinates):
S1 0.000 0.000 0.000
Tl1 0.500 0.500 0.500
Tb1 0.266 0.266 0.202
Tb2 0.734 0.734 0.798



Last place for stability: <one>